1.
A plane-wave DFT calculation with PBE was carried out for an optimized crystal structure of NaTb2ReO8.

The raw total energy is -89.02 eV for the cell shown. The value obtained for the formation energy (no corrections) is -2.19 eV/atom. Its symmetry is P-1 (2).

POSCAR file:
```
NaTb2ReO8
1.0
-2.942 -4.019 1.708
3.158 -2.732 -0.582
3.429 0.143 5.998
O Tb Re Na
8 2 1 1
Direct
0.220 0.774 0.868
0.528 0.826 0.498
0.780 0.226 0.132
0.306 0.186 0.082
0.694 0.814 0.918
0.472 0.174 0.502
0.043 0.676 0.241
0.957 0.324 0.759
0.517 0.389 0.785
0.483 0.611 0.215
0.000 0.000 0.000
0.000 0.000 0.500
```

2.
A plane-wave DFT calculation with PBE was carried out for an optimized crystal structure of NaRe2TcO8.

The raw total energy is -94.80 eV for the cell shown. The value obtained for the formation energy (no corrections) is -1.55 eV/atom. Its symmetry is Cmmm (65).

POSCAR file:
```
NaRe2TcO8
1.0
-1.030 -2.750 -3.896
2.914 -3.621 1.482
-4.519 -2.442 2.918
Na Tc O Re
1 1 8 2
Direct
0.000 0.000 0.500
0.000 0.000 0.000
0.222 0.778 0.788
0.284 0.284 0.000
0.330 0.330 0.500
0.778 0.222 0.212
0.716 0.716 0.000
0.778 0.222 0.788
0.222 0.778 0.212
0.670 0.670 0.500
0.500 0.500 0.766
0.500 0.500 0.234
```

3.
A plane-wave DFT calculation with PBE was carried out for an optimized crystal structure of Na2ReTeO6.

The raw total energy is -62.02 eV for the cell shown. The value obtained for the formation energy (no corrections) is -1.40 eV/atom. Its symmetry is P4mm (99).

POSCAR file:
```
Na2ReTeO6
1.0
4.868 0.000 0.000
0.000 5.604 0.000
0.000 0.000 5.604
O Re Na Te
6 1 2 1
Direct
0.239 0.500 0.500
0.699 0.230 0.230
0.699 0.770 0.230
0.218 0.000 0.000
0.699 0.230 0.770
0.699 0.770 0.770
0.576 0.000 0.000
0.998 0.000 0.500
0.998 0.500 0.000
0.621 0.500 0.500
```

4.
A plane-wave DFT calculation with PBE was carried out for an optimized crystal structure of NaReTeO6.

The raw total energy is -118.25 eV for the cell shown. The value obtained for the formation energy (no corrections) is -1.39 eV/atom. Its symmetry is P-31c (163).

POSCAR file:
```
NaReTeO6
1.0
-0.422 -3.471 4.123
-2.184 -1.217 -4.792
8.754 -4.460 -2.858
O Te Na Re
12 2 2 2
Direct
0.974 0.614 0.355
0.614 0.639 0.645
0.361 0.974 0.645
0.639 0.614 0.145
0.026 0.639 0.855
0.361 0.386 0.855
0.026 0.386 0.645
0.614 0.974 0.855
0.639 0.026 0.355
0.386 0.361 0.355
0.386 0.026 0.145
0.974 0.361 0.145
0.333 0.667 0.250
0.667 0.333 0.750
0.000 0.000 0.500
0.000 0.000 0.000
0.333 0.667 0.750
0.667 0.333 0.250
```

Copy entry 2 word for word.
A plane-wave DFT calculation with PBE was carried out for an optimized crystal structure of NaRe2TcO8.

The raw total energy is -94.80 eV for the cell shown. The value obtained for the formation energy (no corrections) is -1.55 eV/atom. Its symmetry is Cmmm (65).

POSCAR file:
```
NaRe2TcO8
1.0
-1.030 -2.750 -3.896
2.914 -3.621 1.482
-4.519 -2.442 2.918
Na Tc O Re
1 1 8 2
Direct
0.000 0.000 0.500
0.000 0.000 0.000
0.222 0.778 0.788
0.284 0.284 0.000
0.330 0.330 0.500
0.778 0.222 0.212
0.716 0.716 0.000
0.778 0.222 0.788
0.222 0.778 0.212
0.670 0.670 0.500
0.500 0.500 0.766
0.500 0.500 0.234
```

Q: The highest formation energy (no corrections) belongs to which entry?
A: NaReTeO6